No. 1
The following is a DFT calculation (GGA-PBE) of an optimized crystal structure of GePS2.

CIF file:
```
data_GePS2
_chemical_formula_sum 'Ge2 P2 S4'
_cell_length_a 4.8581
_cell_length_b 4.8581
_cell_length_c 7.9973
_cell_angle_alpha 72.32
_cell_angle_beta 72.32
_cell_angle_gamma 90.00
_symmetry_space_group_name_H-M 'P 1'
_symmetry_Int_Tables_number 1
_symmetry_space_group_name_Hall 'P 1'
loop_
_atom_site_label
_atom_site_type_symbol
_atom_site_fract_x
_atom_site_fract_y
_atom_site_fract_z
P1 P 0.5000 0.5000 0.0000
S1 S 0.1559 0.6250 0.2500
Ge1 Ge 0.0000 0.0000 0.0000
Ge2 Ge 0.7500 0.2500 0.5000
S2 S 0.5941 0.1250 0.2500
S3 S 0.3750 0.4059 0.7500
P2 P 0.2500 0.7500 0.5000
S4 S 0.8750 0.8441 0.7500
```

## Properties
E_form (uncorrected) = 0.332 eV per atom
M_tot = 0.0 μB per formula unit
symmetry = No. 122
calculated volume = 85.2 Å³/f.u.

No. 2
The following is a DFT calculation (GGA-PBE) of an optimized crystal structure of Nd5InRh.

CIF file:
```
data_Nd5InRh
_chemical_formula_sum 'Nd10 In2 Rh2'
_cell_length_a 6.1726
_cell_length_b 6.1726
_cell_length_c 11.9252
_cell_angle_alpha 77.92
_cell_angle_beta 77.92
_cell_angle_gamma 78.33
_symmetry_space_group_name_H-M 'P 1'
_symmetry_Int_Tables_number 1
_symmetry_space_group_name_Hall 'P 1'
loop_
_atom_site_label
_atom_site_type_symbol
_atom_site_fract_x
_atom_site_fract_y
_atom_site_fract_z
Nd1 Nd 0.0620 0.4306 0.8710
Nd2 Nd 0.7835 0.4518 0.4452
Rh1 Rh 0.0000 0.0000 0.5000
Nd3 Nd 0.5694 0.9380 0.6290
Nd4 Nd 0.4518 0.7835 0.9452
Nd5 Nd 0.9380 0.5694 0.1290
Nd6 Nd 0.4306 0.0620 0.3710
Nd7 Nd 0.2165 0.5482 0.5548
Nd8 Nd 0.0084 0.9916 0.2500
Nd9 Nd 0.5482 0.2165 0.0548
Rh2 Rh 0.0000 0.0000 0.0000
In1 In 0.5832 0.4168 0.7500
In2 In 0.4168 0.5832 0.2500
Nd10 Nd 0.9916 0.0084 0.7500
```

## Properties
M_tot = 0.0 μB per formula unit
symmetry = No. 15
calculated volume = 214.2 Å³/f.u.
ΔH_f (0 K) = -252 meV/atom

No. 3
The following is a DFT calculation (GGA-PBE) of an optimized crystal structure of CaYCdNi.

CIF file:
```
data_CaYCdNi
_chemical_formula_sum 'Ca1 Y1 Cd1 Ni1'
_cell_length_a 5.0900
_cell_length_b 5.0900
_cell_length_c 5.0900
_cell_angle_alpha 60.00
_cell_angle_beta 60.00
_cell_angle_gamma 60.00
_symmetry_space_group_name_H-M 'P 1'
_symmetry_Int_Tables_number 1
_symmetry_space_group_name_Hall 'P 1'
loop_
_atom_site_label
_atom_site_type_symbol
_atom_site_fract_x
_atom_site_fract_y
_atom_site_fract_z
Ni1 Ni 0.5000 0.5000 0.5000
Cd1 Cd 0.0000 0.0000 0.0000
Ca1 Ca 0.2500 0.2500 0.2500
Y1 Y 0.7500 0.7500 0.7500
```

## Properties
M_tot = 0.0 μB per formula unit
symmetry = No. 216
calculated volume = 93.2 Å³/f.u.
ΔH_f (0 K) = -177 meV/atom

No. 4
The following is a DFT calculation (GGA-PBE) of an optimized crystal structure of LiCd2Sb.

CIF file:
```
data_LiCd2Sb
_chemical_formula_sum 'Li1 Cd2 Sb1'
_cell_length_a 5.0767
_cell_length_b 5.0767
_cell_length_c 5.0767
_cell_angle_alpha 60.00
_cell_angle_beta 60.00
_cell_angle_gamma 60.00
_symmetry_space_group_name_H-M 'P 1'
_symmetry_Int_Tables_number 1
_symmetry_space_group_name_Hall 'P 1'
loop_
_atom_site_label
_atom_site_type_symbol
_atom_site_fract_x
_atom_site_fract_y
_atom_site_fract_z
Cd1 Cd 0.2500 0.2500 0.2500
Cd2 Cd 0.0000 0.0000 0.0000
Li1 Li 0.5000 0.5000 0.5000
Sb1 Sb 0.7500 0.7500 0.7500
```

## Properties
E_form (uncorrected) = -0.134 eV per atom
M_tot = 0.0 μB per formula unit
symmetry = No. 216
calculated volume = 92.5 Å³/f.u.

No. 5
The following is a DFT calculation (GGA-PBE) of an optimized crystal structure of CdOs3.

CIF file:
```
data_CdOs3
_chemical_formula_sum 'Cd1 Os3'
_cell_length_a 2.7971
_cell_length_b 2.7971
_cell_length_c 9.1711
_cell_angle_alpha 90.00
_cell_angle_beta 90.00
_cell_angle_gamma 120.00
_symmetry_space_group_name_H-M 'P 1'
_symmetry_Int_Tables_number 1
_symmetry_space_group_name_Hall 'P 1'
loop_
_atom_site_label
_atom_site_type_symbol
_atom_site_fract_x
_atom_site_fract_y
_atom_site_fract_z
Os1 Os 0.3333 0.6667 0.7279
Os2 Os 0.0000 0.0000 0.5000
Cd1 Cd 0.0000 0.0000 0.0000
Os3 Os 0.3333 0.6667 0.2721
```

## Properties
M_tot = 0.0 μB per formula unit
symmetry = No. 187
calculated volume = 62.1 Å³/f.u.
ΔH_f (0 K) = 237 meV/atom

No. 6
The following is a DFT calculation (GGA-PBE) of an optimized crystal structure of TmPd3Pt2.

CIF file:
```
data_TmPd3Pt2
_chemical_formula_sum 'Tm2 Pd6 Pt4'
_cell_length_a 4.9647
_cell_length_b 4.6424
_cell_length_c 8.7453
_cell_angle_alpha 90.00
_cell_angle_beta 90.00
_cell_angle_gamma 90.00
_symmetry_space_group_name_H-M 'P 1'
_symmetry_Int_Tables_number 1
_symmetry_space_group_name_Hall 'P 1'
loop_
_atom_site_label
_atom_site_type_symbol
_atom_site_fract_x
_atom_site_fract_y
_atom_site_fract_z
Pt1 Pt 0.9081 0.5000 0.1695
Tm1 Tm 0.0941 0.0000 0.0000
Tm2 Tm 0.9059 0.5000 0.5000
Pd1 Pd 0.4067 0.5000 0.3241
Pt2 Pt 0.9081 0.5000 0.8305
Pd2 Pd 0.4067 0.5000 0.6759
Pd3 Pd 0.5612 0.0000 0.5000
Pd4 Pd 0.5933 0.0000 0.8241
Pd5 Pd 0.5933 0.0000 0.1759
Pt3 Pt 0.0919 0.0000 0.3305
Pd6 Pd 0.4388 0.5000 0.0000
Pt4 Pt 0.0919 0.0000 0.6695
```

## Properties
M_tot = 0.0 μB per formula unit
symmetry = No. 59
calculated volume = 100.8 Å³/f.u.
ΔH_f (0 K) = -622 meV/atom

No. 7
The following is a DFT calculation (GGA-PBE) of an optimized crystal structure of NaNdNi.

CIF file:
```
data_NaNdNi
_chemical_formula_sum 'Na2 Nd2 Ni2'
_cell_length_a 4.0185
_cell_length_b 4.0189
_cell_length_c 13.0594
_cell_angle_alpha 90.00
_cell_angle_beta 90.04
_cell_angle_gamma 59.99
_symmetry_space_group_name_H-M 'P 1'
_symmetry_Int_Tables_number 1
_symmetry_space_group_name_Hall 'P 1'
loop_
_atom_site_label
_atom_site_type_symbol
_atom_site_fract_x
_atom_site_fract_y
_atom_site_fract_z
Nd1 Nd 0.2954 0.6444 0.1497
Na1 Na 0.6277 0.9808 0.6749
Nd2 Nd 0.2960 0.6441 0.4319
Ni1 Ni 0.9630 0.3105 0.2909
Na2 Na 0.9599 0.3150 0.9069
Ni2 Ni 0.6304 0.9768 0.2904
```

## Properties
M_tot = 0.0 μB per formula unit
symmetry = No. 1
calculated volume = 91.3 Å³/f.u.
ΔH_f (0 K) = -199 meV/atom

No. 8
The following is a DFT calculation (GGA-PBE) of an optimized crystal structure of KBaAs2Se.

CIF file:
```
data_KBaAs2Se
_chemical_formula_sum 'K1 Ba1 As2 Se1'
_cell_length_a 6.2550
_cell_length_b 6.2550
_cell_length_c 6.1753
_cell_angle_alpha 90.00
_cell_angle_beta 90.00
_cell_angle_gamma 90.00
_symmetry_space_group_name_H-M 'P 1'
_symmetry_Int_Tables_number 1
_symmetry_space_group_name_Hall 'P 1'
loop_
_atom_site_label
_atom_site_type_symbol
_atom_site_fract_x
_atom_site_fract_y
_atom_site_fract_z
Ba1 Ba 0.0000 0.0000 0.0000
Se1 Se 0.0000 0.0000 0.5000
As1 As 0.5000 0.0000 0.0000
As2 As 0.0000 0.5000 0.0000
K1 K 0.5000 0.5000 0.5000
```

## Properties
E_form (uncorrected) = 0.181 eV per atom
M_tot = 3.6 μB per formula unit
symmetry = No. 123
calculated volume = 241.6 Å³/f.u.

No. 9
The following is a DFT calculation (GGA-PBE) of an optimized crystal structure of Zr2ZnP2.

CIF file:
```
data_Zr2ZnP2
_chemical_formula_sum 'Zr4 Zn2 P4'
_cell_length_a 7.0825
_cell_length_b 7.0825
_cell_length_c 3.4682
_cell_angle_alpha 90.00
_cell_angle_beta 90.00
_cell_angle_gamma 90.00
_symmetry_space_group_name_H-M 'P 1'
_symmetry_Int_Tables_number 1
_symmetry_space_group_name_Hall 'P 1'
loop_
_atom_site_label
_atom_site_type_symbol
_atom_site_fract_x
_atom_site_fract_y
_atom_site_fract_z
Zr1 Zr 0.8487 0.3487 0.5000
P1 P 0.6457 0.1457 0.0000
Zn1 Zn 0.5000 0.5000 0.0000
P2 P 0.1457 0.3543 0.0000
Zr2 Zr 0.6513 0.8487 0.5000
P3 P 0.8543 0.6457 0.0000
Zn2 Zn 0.0000 0.0000 0.0000
Zr3 Zr 0.1513 0.6513 0.5000
Zr4 Zr 0.3487 0.1513 0.5000
P4 P 0.3543 0.8543 0.0000
```

## Properties
M_tot = 0.0 μB per formula unit
symmetry = No. 127
calculated volume = 87.0 Å³/f.u.
ΔH_f (0 K) = -834 meV/atom

No. 10
The following is a DFT calculation (GGA-PBE) of an optimized crystal structure of TlC5.

CIF file:
```
data_TlC5
_chemical_formula_sum 'Tl1 C5'
_cell_length_a 4.4523
_cell_length_b 4.4523
_cell_length_c 5.1180
_cell_angle_alpha 90.00
_cell_angle_beta 90.00
_cell_angle_gamma 90.00
_symmetry_space_group_name_H-M 'P 1'
_symmetry_Int_Tables_number 1
_symmetry_space_group_name_Hall 'P 1'
loop_
_atom_site_label
_atom_site_type_symbol
_atom_site_fract_x
_atom_site_fract_y
_atom_site_fract_z
Tl1 Tl 0.5000 0.5000 0.0000
C1 C 0.0000 0.0000 0.8720
C2 C 0.5000 0.5000 0.3823
C3 C 0.0000 0.0000 0.5000
C4 C 0.0000 0.0000 0.1280
C5 C 0.5000 0.5000 0.6177
```

## Properties
M_tot = 2.2 μB per formula unit
symmetry = No. 123
calculated volume = 101.5 Å³/f.u.
ΔH_f (0 K) = 2598 meV/atom

No. 11
The following is a DFT calculation (GGA-PBE) of an optimized crystal structure of Li2LaAg2.

CIF file:
```
data_Li2LaAg2
_chemical_formula_sum 'Li4 La2 Ag4'
_cell_length_a 8.0896
_cell_length_b 8.0896
_cell_length_c 3.1181
_cell_angle_alpha 90.00
_cell_angle_beta 90.00
_cell_angle_gamma 90.00
_symmetry_space_group_name_H-M 'P 1'
_symmetry_Int_Tables_number 1
_symmetry_space_group_name_Hall 'P 1'
loop_
_atom_site_label
_atom_site_type_symbol
_atom_site_fract_x
_atom_site_fract_y
_atom_site_fract_z
Li1 Li 0.3847 0.8847 0.0000
Ag1 Ag 0.6768 0.8232 0.5000
La1 La 0.0000 0.0000 0.0000
Li2 Li 0.1153 0.3847 0.0000
Ag2 Ag 0.8232 0.3232 0.5000
Li3 Li 0.6153 0.1153 0.0000
La2 La 0.5000 0.5000 0.0000
Li4 Li 0.8847 0.6153 0.0000
Ag3 Ag 0.1768 0.6768 0.5000
Ag4 Ag 0.3232 0.1768 0.5000
```

## Properties
M_tot = 0.1 μB per formula unit
symmetry = No. 127
calculated volume = 102.0 Å³/f.u.
ΔH_f (0 K) = -165 meV/atom

No. 12
The following is a DFT calculation (GGA-PBE) of an optimized crystal structure of LiPu2Pb3.

CIF file:
```
data_LiPu2Pb3
_chemical_formula_sum 'Li1 Pu2 Pb3'
_cell_length_a 3.5382
_cell_length_b 3.5382
_cell_length_c 12.4828
_cell_angle_alpha 90.00
_cell_angle_beta 90.00
_cell_angle_gamma 90.00
_symmetry_space_group_name_H-M 'P 1'
_symmetry_Int_Tables_number 1
_symmetry_space_group_name_Hall 'P 1'
loop_
_atom_site_label
_atom_site_type_symbol
_atom_site_fract_x
_atom_site_fract_y
_atom_site_fract_z
Pb1 Pb 0.0000 0.0000 0.0000
Pu1 Pu 0.5000 0.5000 0.8181
Pb2 Pb 0.0000 0.0000 0.6355
Pu2 Pu 0.5000 0.5000 0.1819
Li1 Li 0.5000 0.5000 0.5000
Pb3 Pb 0.0000 0.0000 0.3645
```

## Properties
M_tot = 12.0 μB per formula unit
symmetry = No. 123
calculated volume = 156.3 Å³/f.u.
ΔH_f (0 K) = -186 meV/atom

no.,total energy (Ry/atom)
1,-0.312
2,-0.375
3,-0.292
4,-0.154
5,-0.618
6,-0.439
7,-0.305
8,-0.219
9,-0.490
10,-0.403
11,-0.225
12,-0.525